# 1
InPtI2N, optimized geometry, DFT PBE; polymorph energy (0 for the lowest one) = 471 kJ/mol of formula units; D(E_F) = 2.28 states/eV per atom; formation energy (no corrections) = 6.195 eV/f.u.
1.0
-0.683 4.592 3.688
-5.269 -2.136 1.684
1.753 -2.052 2.880
Pt I N In
1 2 1 1
Direct
0.500 0.500 0.500
0.500 0.000 0.000
0.000 0.500 0.000
0.000 0.000 0.500
0.000 0.000 0.000


# 2
TcBrF, optimized geometry, DFT PBE; polymorph energy (0 for the lowest one) = 0 kJ/mol of formula units; D(E_F) = 0.51 states/eV per atom; formation energy (no corrections) = -2.142 eV/f.u.
1.0
-0.064 -4.162 -2.559
4.233 -0.662 0.972
-3.642 -0.704 5.456
Tc F Br
2 2 2
Direct
0.278 0.444 0.888
0.722 0.556 0.112
0.000 0.246 0.000
0.000 0.754 0.000
0.329 0.833 0.666
0.671 0.167 0.334


Number 1: raw total energy -14.01 eV per cell. Number 2: raw total energy -32.11 eV per cell.